(1)
DFT (SCAN) results for InSeIBr2 at its PBEsol-relaxed geometry.

The space group is P4/mmm (No. 123) and the conventional cell measures 5.154, 5.154 and 5.705 Å, with angles of 90.00, 90.00 and 90.00 degrees. The asymmetric unit holds In at (0.000, 0.000, 0.000), Se at (0.000, 0.000, 0.500), I at (0.500, 0.500, 0.500) and Br at (0.000, 0.500, 0.000).

The total moment is 0.0 μB/f.u. For the final energy, the calculation gives -25.90 eV per atom. Its formation energy from raw total energies is -0.07 eV/atom.

***

(2)
DFT (SCAN) results for InSiI2Br at its PBEsol-relaxed geometry.

The space group is P4/mmm (No. 123) and the conventional cell measures 5.315, 5.315 and 5.589 Å, with angles of 90.00, 90.00 and 90.00 degrees. The asymmetric unit holds In at (0.000, 0.000, 0.000), Si at (0.000, 0.000, 0.500), I at (0.000, 0.500, 0.500) and Br at (0.500, 0.500, 0.000).

The total moment is 0.0 μB/f.u. For the final energy, the calculation gives -27.22 eV per atom. Its formation energy from raw total energies is 0.05 eV/atom.

***

(3)
DFT (SCAN) results for InTe2IBr at its PBEsol-relaxed geometry.

The space group is P4/mmm (No. 123) and the conventional cell measures 5.636, 5.636 and 5.639 Å, with angles of 90.00, 90.00 and 90.00 degrees. The asymmetric unit holds In at (0.000, 0.000, 0.000), Te at (0.000, 0.500, 0.000), I at (0.000, 0.000, 0.500) and Br at (0.500, 0.500, 0.500).

The total moment is 3.0 μB/f.u. For the final energy, the calculation gives -32.49 eV per atom. Its formation energy from raw total energies is 0.33 eV/atom.

***

(4)
DFT (SCAN) results for IrSe2IBr at its PBEsol-relaxed geometry.

The space group is P4/mmm (No. 123) and the conventional cell measures 4.855, 4.855 and 5.082 Å, with angles of 90.00, 90.00 and 90.00 degrees. The asymmetric unit holds Ir at (0.000, 0.000, 0.000), Se at (0.000, 0.500, 0.000), I at (0.500, 0.500, 0.500) and Br at (0.000, 0.000, 0.500).

The total moment is 0.0 μB/f.u. For the final energy, the calculation gives -33.05 eV per atom. Its formation energy from raw total energies is 0.44 eV/atom.

***

(5)
DFT (SCAN) results for K3I2Br at its PBEsol-relaxed geometry.

The space group is P-3m1 (No. 164) and the conventional cell measures 4.8256, 4.8256 and 11.9427 Å, with angles of 90.00, 90.00 and 120.00 degrees. The asymmetric unit holds K at (0.0000, 0.0000, 0.0000), K at (0.3333, 0.6667, 0.6514), I at (0.3333, 0.6667, 0.1739) and Br at (0.0000, 0.0000, 0.5000).

The total moment is 0.0 μB/f.u. For the final energy, the calculation gives -21.40 eV per atom. Its formation energy from raw total energies is -1.75 eV/atom.

***

(6)
DFT (SCAN) results for K2IBr at its PBEsol-relaxed geometry.

The space group is I-42d (No. 122) and the conventional cell measures 8.628, 8.628 and 9.436 Å, with angles of 90.00, 90.00 and 90.00 degrees. The asymmetric unit holds K at (0.227, 0.250, 0.125), I at (0.000, 0.000, 0.500) and Br at (0.000, 0.000, 0.000).

The total moment is 0.0 μB/f.u. For the final energy, the calculation gives -19.90 eV per atom. Its formation energy from raw total energies is -1.69 eV/atom.